# 1
VASP calculation (PBE) on Co2CuAs after structural relaxation.

Formation energy: 55 meV/atom

a b c (Å): 3.7364 3.7364 3.3363
angles (deg): 90.00 90.00 90.00
Space group P4/mmm (No. 123)
Unique sites:
Co 0.0000 0.5000 0.0000
Cu 0.0000 0.0000 0.5000
As 0.5000 0.5000 0.5000

# 2
VASP calculation (PBE) on BeB3Br after structural relaxation.

Relative energy among the computed polymorphs: 0.0000 eV per atom

a b c (Å): 3.9575 3.9575 3.9575
angles (deg): 90.00 90.00 90.00
Space group Pm-3m (No. 221)
Unique sites:
Be 0.0000 0.0000 0.0000
B 0.0000 0.0000 0.5000
Br 0.5000 0.5000 0.5000

# 3
VASP calculation (PBE) on SrCa2BiO after structural relaxation.

a b c (Å): 4.8720 4.8720 5.3831
angles (deg): 90.00 90.00 90.00
Space group P4/mmm (No. 123)
Unique sites:
Sr 0.0000 0.0000 0.0000
Ca 0.0000 0.5000 0.5000
Bi 0.5000 0.5000 0.0000
O 0.0000 0.0000 0.5000

# 4
VASP calculation (PBE) on PmMnC after structural relaxation.

Formation energy: 126 meV/atom
Relative energy among the computed polymorphs: 0.1829 eV per atom

a b c (Å): 3.4013 3.4013 4.4033
angles (deg): 90.00 90.00 120.00
Space group P-6m2 (No. 187)
Unique sites:
Pm 0.0000 0.0000 0.0000
Mn 0.6667 0.3333 0.5000
C 0.3333 0.6667 0.5000

# 5
VASP calculation (PBE) on Ca10P6SO24 after structural relaxation.

Relative energy among the computed polymorphs: 0.0043 eV per atom

a b c (Å): 9.7019 6.7946 19.3202
angles (deg): 90.00 119.79 90.00
Space group P2_1/c (No. 14)
Unique sites:
Ca 0.0052 0.2392 0.3749
Ca 0.2506 0.2311 0.6282
Ca 0.2570 0.7452 0.0034
Ca 0.3193 0.5113 0.3272
Ca 0.3475 0.0055 0.3410
P 0.0309 0.2502 0.2016
P 0.3749 0.2451 0.9864
P 0.4016 0.7386 0.6858
S 0.0000 0.0000 0.5000
O 0.0726 0.0806 0.1611
O 0.0968 0.0570 0.6858
O 0.1253 0.2267 0.2945
O 0.1502 0.7432 0.8304
O 0.2431 0.0865 0.9638
O 0.2911 0.0532 0.4557
O 0.3205 0.5693 0.6247
O 0.3370 0.7442 0.7446
O 0.3711 0.5696 0.1359
O 0.4135 0.2165 0.7682
O 0.4641 0.2062 0.9388
O 0.4912 0.2467 0.0774

# 6
VASP calculation (PBE) on Pm3AgRu after structural relaxation.

Formation energy: 17 meV/atom
Relative energy among the computed polymorphs: 0.2626 eV per atom

a b c (Å): 5.4175 5.4175 5.4175
angles (deg): 90.00 90.00 90.00
Space group Pm-3m (No. 221)
Unique sites:
Pm 0.0000 0.0000 0.5000
Ag 0.5000 0.5000 0.5000
Ru 0.0000 0.0000 0.0000

# 7
VASP calculation (PBE) on NbAl2Ni8 after structural relaxation.

Formation energy: -285 meV/atom
Relative energy among the computed polymorphs: 0.0000 eV per atom

a b c (Å): 11.7554 4.0364 6.8159
angles (deg): 90.00 124.05 90.00
Space group C2/m (No. 12)
Unique sites:
Nb 0.0000 0.0000 0.0000
Al 0.1831 0.5000 0.7054
Ni 0.0556 0.5000 0.2759
Ni 0.0707 0.0000 0.7210
Ni 0.1786 0.5000 0.0555
Ni 0.1863 0.0000 0.4850

# 8
VASP calculation (PBE) on Ca3Zn2Si2 after structural relaxation.

a b c (Å): 10.7839 4.5740 6.8843
angles (deg): 90.00 108.35 90.00
Space group C2/m (No. 12)
Unique sites:
Ca 0.0000 0.0000 0.0000
Ca 0.1664 0.0000 0.6141
Zn 0.1908 0.5000 0.9316
Si 0.0298 0.5000 0.3368

# 9
VASP calculation (PBE) on CrCuOs2 after structural relaxation.

Formation energy: 345 meV/atom
Relative energy among the computed polymorphs: 0.1872 eV per atom

a b c (Å): 3.0026 4.1037 8.5156
angles (deg): 90.00 90.00 90.00
Space group Imm2 (No. 44)
Unique sites:
Cr 0.0000 0.0000 0.0000
Cu 0.0000 0.5000 0.7384
Os 0.0000 0.0000 0.4897
Os 0.0000 0.5000 0.2506

# 10
VASP calculation (PBE) on LaSn after structural relaxation.

Formation energy: 145 meV/atom

a b c (Å): 9.6277 9.6277 9.6277
angles (deg): 90.00 90.00 90.00
Space group I-43m (No. 217)
Unique sites:
La 0.1953 0.1953 0.8047
Sn 0.1193 0.1193 0.1193

# 11
VASP calculation (PBE) on Pm2YNi after structural relaxation.

Formation energy: -203 meV/atom
Relative energy among the computed polymorphs: 0.0000 eV per atom

a b c (Å): 6.9771 9.9291 6.3682
angles (deg): 90.00 90.00 90.00
Space group Pnma (No. 62)
Unique sites:
Pm 0.1800 0.0668 0.1755
Y 0.0353 0.2500 0.6481
Ni 0.1115 0.7500 0.9402

# 12
VASP calculation (PBE) on PmTmP2 after structural relaxation.

Formation energy: -1035 meV/atom
Relative energy among the computed polymorphs: 0.5410 eV per atom

a b c (Å): 4.9323 4.9323 3.5077
angles (deg): 90.00 90.00 90.00
Space group P4/mmm (No. 123)
Unique sites:
Pm 0.0000 0.0000 0.0000
Tm 0.5000 0.5000 0.0000
P 0.0000 0.5000 0.5000

# 13
VASP calculation (PBE) on BeHg3Te after structural relaxation.

Relative energy among the computed polymorphs: 0.0000 eV per atom

a b c (Å): 4.9838 4.9838 4.9838
angles (deg): 90.00 90.00 90.00
Space group Pm-3m (No. 221)
Unique sites:
Be 0.0000 0.0000 0.0000
Hg 0.0000 0.0000 0.5000
Te 0.5000 0.5000 0.5000

# 14
VASP calculation (PBE) on Ac2Mg2In3 after structural relaxation.

Formation energy: -394 meV/atom

a b c (Å): 4.9518 21.3355 7.9876
angles (deg): 90.00 90.00 90.00
Space group Cmcm (No. 63)
Unique sites:
Ac 0.0000 0.0512 0.2500
Ac 0.0000 0.1554 0.7500
Mg 0.0000 0.3101 0.5592
In 0.0000 0.2229 0.2500
In 0.0000 0.4385 0.0681

# 15
VASP calculation (PBE) on AcTlSeS after structural relaxation.

Relative energy among the computed polymorphs: 0.1572 eV per atom

a b c (Å): 7.5367 7.5367 7.5367
angles (deg): 90.00 90.00 90.00
Space group F-43m (No. 216)
Unique sites:
Ac 0.0000 0.0000 0.0000
Tl 0.0000 0.0000 0.5000
Se 0.2500 0.2500 0.2500
S 0.2500 0.2500 0.7500

# 16
VASP calculation (PBE) on SiBSeS after structural relaxation.

Relative energy among the computed polymorphs: 0.2801 eV per atom

a b c (Å): 5.8344 3.2806 8.5807
angles (deg): 90.00 109.83 90.00
Space group Cm (No. 8)
Unique sites:
Si 0.0000 0.0000 0.0000
B 0.1277 0.0000 0.2425
Se 0.3540 0.5000 0.3557
S 0.1034 0.5000 0.8563

# 17
VASP calculation (PBE) on AcPm7Er4 after structural relaxation.

Formation energy: 281 meV/atom

a b c (Å): 12.2920 6.1449 12.6790
angles (deg): 90.00 118.90 90.00
Space group C2/m (No. 12)
Unique sites:
Ac 0.0000 0.0000 0.0000
Pm 0.0000 0.5000 0.0000
Pm 0.0557 0.0000 0.3391
Pm 0.1300 0.5000 0.5052
Pm 0.2144 0.0000 0.9170
Er 0.1292 0.5000 0.7754
Er 0.2442 0.5000 0.3175

# 18
VASP calculation (PBE) on Al3Zn2Ga2 after structural relaxation.

Formation energy: 63 meV/atom
Relative energy among the computed polymorphs: 0.0221 eV per atom

a b c (Å): 4.8235 4.8893 6.2252
angles (deg): 103.06 107.08 108.57
Space group P-1 (No. 2)
Unique sites:
Al 0.0000 0.0000 0.0000
Al 0.2611 0.2581 0.5196
Zn 0.3826 0.8724 0.7640
Ga 0.1119 0.6194 0.2435

# 19
VASP calculation (PBE) on LiCoIr after structural relaxation.

Formation energy: 51 meV/atom
Relative energy among the computed polymorphs: 0.0177 eV per atom

a b c (Å): 2.6051 3.8015 7.6282
angles (deg): 90.00 90.00 90.00
Space group Imm2 (No. 44)
Unique sites:
Li 0.0000 0.0000 0.0000
Co 0.0000 0.0000 0.6755
Ir 0.0000 0.0000 0.3263

# 20
VASP calculation (PBE) on KSb after structural relaxation.

Relative energy among the computed polymorphs: 0.1565 eV per atom

a b c (Å): 13.3141 13.3141 4.3042
angles (deg): 90.00 90.00 120.00
Space group P6_3/m (No. 176)
Unique sites:
K 0.1904 0.7617 0.2500
Sb 0.0779 0.5102 0.7500

# 21
VASP calculation (PBE) on MgReNi2 after structural relaxation.

Formation energy: 105 meV/atom

a b c (Å): 2.6712 4.3692 9.2409
angles (deg): 90.00 90.00 90.00
Space group Imm2 (No. 44)
Unique sites:
Mg 0.0000 0.0000 0.0000
Re 0.0000 0.5000 0.7825
Ni 0.0000 0.0000 0.5102
Ni 0.0000 0.5000 0.2342

| no. | DFT total energy (eV per atom) | density of states at the Fermi level (states/eV per atom) |
| --- | --- | --- |
| 1 | -5.685 | 1.014 |
| 2 | -3.323 | 0.263 |
| 3 | -4.410 | 0.569 |
| 4 | -7.589 | 0.730 |
| 5 | -7.148 | 0.000 |
| 6 | -5.259 | 1.036 |
| 7 | -6.086 | 0.651 |
| 8 | -3.153 | 0.447 |
| 9 | -8.700 | 1.123 |
| 10 | -4.320 | 1.228 |
| 11 | -5.639 | 0.986 |
| 12 | -6.045 | 0.424 |
| 13 | -1.258 | 0.903 |
| 14 | -3.197 | 0.479 |
| 15 | -4.836 | 0.000 |
| 16 | -4.898 | 0.508 |
| 17 | -4.353 | 1.446 |
| 18 | -2.770 | 0.235 |
| 19 | -5.910 | 1.010 |
| 20 | -2.894 | 0.431 |
| 21 | -6.296 | 0.989 |